A plane-wave DFT calculation with PBE was carried out for crystalline SiW2C at its relaxed geometry.

Computed properties:
- E above lowest polymorph (kJ/mol of formula units) = 303

abc: 4.9703 4.9703 10.8621
angles: 90.00 90.00 90.00
Space group I-42d (No. 122)
Unique sites:
Si (0.0000, 0.0000, 0.0000) x4
W (0.1673, 0.2500, 0.6250) x8
C (0.0000, 0.0000, 0.5000) x4

A plane-wave DFT calculation with PBE was carried out for crystalline SiWC2 at its relaxed geometry.

abc: 4.6567 4.6567 8.7489
angles: 90.00 90.00 90.00
Space group I-42d (No. 122)
Unique sites:
Si (0.0000, 0.0000, 0.0000) x4
W (0.0000, 0.0000, 0.5000) x4
C (0.2215, 0.2500, 0.1250) x8

A plane-wave DFT calculation with PBE was carried out for crystalline SiWC at its relaxed geometry.

abc: 3.5332 3.5332 22.9338
angles: 90.00 90.00 120.00
Space group R-3m (No. 166, hexagonal axes)
Unique sites:
Si (0.0000, 0.0000, 0.1348) x6
W (0.0000, 0.0000, 0.3795) x6
C (0.0000, 0.0000, 0.2857) x6

A plane-wave DFT calculation with PBE was carried out for crystalline SiW2C at its relaxed geometry.

Computed properties:
- E above lowest polymorph (kJ/mol of formula units) = 0

abc: 2.9901 2.9901 20.2220
angles: 90.00 90.00 120.00
Space group R-3m (No. 166, hexagonal axes)
Unique sites:
Si (0.0000, 0.0000, 0.0000) x3
W (0.0000, 0.0000, 0.2280) x6
C (0.0000, 0.0000, 0.5000) x3

A plane-wave DFT calculation with PBE was carried out for crystalline Si2WC at its relaxed geometry.

abc: 5.9751 5.9751 5.6158
angles: 90.00 90.00 90.00
Space group I-42d (No. 122)
Unique sites:
Si (0.1614, 0.2500, 0.1250) x8
W (0.0000, 0.0000, 0.5000) x4
C (0.0000, 0.0000, 0.0000) x4

A plane-wave DFT calculation with PBE was carried out for crystalline Zn2SiWC at its relaxed geometry.

abc: 4.8571 4.8571 3.3157
angles: 90.00 90.00 90.00
Space group P4/mmm (No. 123)
Unique sites:
Zn (0.0000, 0.5000, 0.0000) x2
Si (0.0000, 0.0000, 0.0000) x1
W (0.5000, 0.5000, 0.5000) x1
C (0.0000, 0.0000, 0.5000) x1

A plane-wave DFT calculation with PBE was carried out for crystalline ZrSiWC2 at its relaxed geometry.

abc: 4.0226 4.0226 4.8900
angles: 90.00 90.00 90.00
Space group P4/mmm (No. 123)
Unique sites:
Zr (0.0000, 0.0000, 0.0000) x1
Si (0.5000, 0.5000, 0.0000) x1
W (0.5000, 0.5000, 0.5000) x1
C (0.0000, 0.5000, 0.5000) x2

A plane-wave DFT calculation with PBE was carried out for crystalline Y6Si2C at its relaxed geometry.

abc: 6.2764 7.6624 11.1677
angles: 90.00 123.25 90.00
Space group P2_1/c (No. 14)
Unique sites:
Y (0.1176, 0.1630, 0.4432) x4
Y (0.2989, 0.7016, 0.4458) x4
Y (0.3654, 0.0340, 0.2502) x4
Si (0.1937, 0.1130, 0.7559) x4
C (0.5000, 0.0000, 0.5000) x2

Short version: formation energy without anion corrections = 0.9071 0.4870 0.4897 0.1225 0.6482 1.5817 1.0158 -0.4942 eV per atom, in the order given.